Entry from Alexandria: a relaxed structure of Sr2CrCu2O6 (GGA+U).

Values from the calculation:
Its final energy is -66.4 eV/cell. The density of states at the Fermi level is 0.301 states/eV per atom.

Unit cell a=5.7520 b=5.7520 c=6.1962 alpha=62.34 beta=62.34 gamma=60.00
Site moments in Bohr magnetons follow the coordinates.
Positions (direct):
O 0.2330 0.2330 0.7529  0.24
O 0.7670 0.2190 0.2471  0.24
Sr 0.7852 0.7852 0.6443  -0.01
Cu 0.5869 0.5869 0.2394  0.57
Cu 0.4131 0.4131 0.7606  0.57
Cr 0.0000 0.0000 0.0000  -2.70
O 0.7810 0.2330 0.7529  0.24
O 0.2190 0.7670 0.2471  0.24
O 0.2330 0.7810 0.7529  0.24
O 0.7670 0.7670 0.2471  0.24
Sr 0.2148 0.2148 0.3557  -0.01